Material: ZrTc2Mo2
Method: DFT, PBE-GGA
State: relaxed

Properties
energy	-10.05	eV/atom
E_form	141	meV/atom

Cell: 7.612 7.612 2.923 Å, 90.00 90.00 90.00°
Element x y z (fractional)
Tc 0.851 0.351 0.500
Tc 0.351 0.149 0.500
Tc 0.149 0.649 0.500
Tc 0.649 0.851 0.500
Mo 0.853 0.647 0.000
Mo 0.147 0.353 0.000
Mo 0.353 0.853 0.000
Mo 0.647 0.147 0.000
Zr 0.500 0.500 0.000
Zr 0.000 0.000 0.000